Density functional theory data (PBE) for MoC3 after structural relaxation.

Results
E above lowest polymorph: 0.252 eV per atom

abc: 2.9461 6.5829 3.7420
angles: 90.00 90.00 90.00
Last column: nearest neighbours and their distance in Å.
Space group Imm2 (No. 44)
One atom of each set of equivalent atoms:
Mo 0.0000 0.0000 0.0000 x2  10 C 2.20-2.40
C 0.0000 0.3189 0.8000 x4  1 C 1.42
C 0.0000 0.5000 0.0070 x2  2 C 1.42


Density functional theory data (PBE) for MoC7 after structural relaxation.

abc: 6.3259 6.3259 6.3259
angles: 90.00 90.00 90.00
Last column: nearest neighbours and their distance in Å.
Space group Fm-3m (No. 225)
One atom of each set of equivalent atoms:
Mo 0.0000 0.0000 0.0000 x4  12 C 2.24
C 0.0000 0.0000 0.5000 x4  12 C 2.24
C 0.0000 0.2500 0.2500 x24  10 C 2.24, 2 Mo 2.24


Density functional theory data (PBE) for MoC3 after structural relaxation.

Results
E above lowest polymorph: 0.000 eV per atom

abc: 4.1963 14.8155 2.5137
angles: 90.00 90.00 90.00
Last column: nearest neighbours and their distance in Å.
Space group Cmcm (No. 63)
One atom of each set of equivalent atoms:
Mo 0.0000 0.0902 0.2500 x4  4 C 2.31-2.35, 2 Mo 2.51
C 0.0000 0.4755 0.7500 x4  2 C 1.45
C 0.1684 0.2416 0.2500 x8  3 C 1.41-1.45


Density functional theory data (PBE) for MoC3 after structural relaxation.

Results
E above lowest polymorph: 1.616 eV per atom

abc: 6.5617 6.5617 3.0082
angles: 90.00 90.00 120.00
Last column: nearest neighbours and their distance in Å.
Space group R-3m (No. 166, hexagonal axes)
One atom of each set of equivalent atoms:
Mo 0.0000 0.0000 0.0000 x3  6 C 2.14
C 0.0000 0.5000 0.0000 x9  2 Mo 2.14, 4 C 2.14


Density functional theory data (PBE) for Mo5C after structural relaxation.

Results
E above lowest polymorph: 0.000 eV per atom

abc: 10.1762 3.1320 6.1129
angles: 90.00 116.11 90.00
Last column: nearest neighbours and their distance in Å.
Space group Cm (No. 8)
One atom of each set of equivalent atoms:
Mo 0.0000 0.0000 0.0000 x2  2 C 2.26
Mo 0.0565 0.0000 0.5625 x2  1 C 2.51, 6 Mo 2.54-2.78
Mo 0.1987 0.5000 0.9164 x2  2 C 2.38, 4 Mo 2.54-2.56
Mo 0.2611 0.5000 0.4933 x2  2 C 2.28
Mo 0.3788 0.0000 0.2419 x2  8 Mo 2.54-2.80, 1 C 2.56
C 0.3301 0.0000 0.7936 x2  7 Mo 2.26-2.51


Density functional theory data (PBE) for Mo5C4 after structural relaxation.

Results
E above lowest polymorph: 0.541 eV per atom

abc: 9.8124 9.8124 2.9115
angles: 90.00 90.00 90.00
Last column: nearest neighbours and their distance in Å.
Space group I4/mmm (No. 139)
One atom of each set of equivalent atoms:
Mo 0.0000 0.0000 0.0000 x2  4 C 2.12
Mo 0.1613 0.1613 0.5000 x8  4 C 2.22
C 0.0000 0.2162 0.0000 x8  5 Mo 2.12-2.22


Density functional theory data (PBE) for Mo3C after structural relaxation.

Results
E above lowest polymorph: 0.957 eV per atom

abc: 5.1577 5.1577 9.3328
angles: 90.00 90.00 120.00
Last column: nearest neighbours and their distance in Å.
Space group P6_3/mmc (No. 194)
One atom of each set of equivalent atoms:
Mo 0.0000 0.5000 0.0000 x6  8 Mo 2.58-2.77, 4 C 2.58-2.77
Mo 0.1640 0.3279 0.2500 x6  8 Mo 2.54-2.77, 4 C 2.58-2.75
C 0.0000 0.0000 0.0000 x2  12 Mo 2.58-2.75
C 0.3333 0.6667 0.7500 x2  12 Mo 2.58-2.77


Density functional theory data (PBE) for Mo3C after structural relaxation.

Results
E above lowest polymorph: 0.330 eV per atom

abc: 3.0910 4.6680 7.4907
angles: 90.00 90.00 90.00
Last column: nearest neighbours and their distance in Å.
Space group Cmmm (No. 65)
One atom of each set of equivalent atoms:
Mo 0.0000 0.0000 0.0000 x2  10 Mo 2.76-3.09
Mo 0.0000 0.5000 0.3057 x4  2 C 2.12
C 0.0000 0.0000 0.5000 x2  4 Mo 2.12


Density functional theory data (PBE) for MoC3 after structural relaxation.

Results
E above lowest polymorph: 1.256 eV per atom

abc: 4.2152 4.2152 10.5306
angles: 90.00 90.00 120.00
Last column: nearest neighbours and their distance in Å.
Space group P6_3/mmc (No. 194)
One atom of each set of equivalent atoms:
Mo 0.0000 0.0000 0.0000 x2  6 C 2.11
Mo 0.3333 0.6667 0.2500 x2  6 C 2.14
C 0.0000 0.5000 0.0000 x6  4 C 2.11, 2 Mo 2.11
C 0.2195 0.4390 0.7500 x6  2 C 1.44


Density functional theory data (PBE) for Mo7C6 after structural relaxation.

abc: 5.3737 5.3737 20.7135
angles: 90.00 90.00 120.00
Last column: nearest neighbours and their distance in Å.
Space group R-3m (No. 166, hexagonal axes)
One atom of each set of equivalent atoms:
Mo 0.0000 0.0000 0.0000 x3  6 Mo 2.50
Mo 0.0080 0.5040 0.4265 x18  3 C 2.16-2.28
C 0.0000 0.0000 0.1658 x6  6 Mo 2.16-2.19
C 0.0000 0.0000 0.3225 x6  1 C 1.43
C 0.0000 0.0000 0.3917 x6  1 C 1.43


Density functional theory data (PBE) for Mo3C after structural relaxation.

Results
E above lowest polymorph: 0.799 eV per atom

abc: 4.7397 4.7397 4.7397
angles: 90.00 90.00 90.00
Last column: nearest neighbours and their distance in Å.
Space group Pm-3n (No. 223)
One atom of each set of equivalent atoms:
Mo 0.0000 0.2500 0.5000 x6  2 Mo 2.37, 4 C 2.65
C 0.0000 0.0000 0.0000 x2  12 Mo 2.65


Density functional theory data (PBE) for MoC4 after structural relaxation.

Results
E above lowest polymorph: 1.528 eV per atom

abc: 3.7050 3.7050 5.6623
angles: 90.00 90.00 90.00
Last column: nearest neighbours and their distance in Å.
Space group I4/mmm (No. 139)
One atom of each set of equivalent atoms:
Mo 0.0000 0.0000 0.0000 x2  10 C 2.10-2.33
C 0.0000 0.0000 0.3710 x4  1 C 1.46
C 0.0000 0.5000 0.2500 x4  4 C 1.98


We obtain E values of -8.643; -6.045; -8.894; -7.278; -10.196; -9.295; -9.439; -10.066; -7.638; -8.925; -9.597; -7.312 eV/atom for the records listed above, in that order.
We obtain E_form values of 0.98; 3.38; 0.73; 2.35; 0.37; 0.82; 0.99; 0.36; 1.99; 1.16; 0.83; 2.23 eV per atom for the records listed above, in that order.